Below is a PBEsol-optimized structure of NaSe2, with properties calculated at the meta-GGA SCAN level.

```
24
Lattice="9.325 -0.024 -0.037 -3.945 8.449 0.037 -3.945 -3.411 7.730" Properties=species:S:1:pos:R:3 pbc="T T T"
Na -6.367 4.065 6.267
Na 6.302 4.729 0.952
Se 4.526 1.427 5.511
Se -0.136 1.498 5.492
Se 0.047 -1.441 7.584
Na -0.807 6.445 3.442
Na -1.524 0.973 1.500
Se 0.108 -1.681 4.123
Se -4.615 4.560 3.719
Se 5.445 -0.832 2.095
Na 1.768 1.836 2.986
Na -2.895 -0.975 4.836
Se 4.770 1.474 2.051
Se -0.717 3.744 2.393
Se 2.850 -0.207 5.953
Se 0.782 -0.700 2.036
Se -2.329 -1.799 7.540
Se 2.334 4.641 3.336
Na -2.306 4.438 6.686
Na 2.241 4.499 0.442
Se -1.812 2.568 4.180
Se 0.470 2.986 7.279
Se -4.193 2.476 7.636
Se 3.945 -2.318 6.299
```

Computed properties:
Space group: No. 122

=====

Below is a PBEsol-optimized structure of LaMgSb, with properties calculated at the meta-GGA SCAN level.

```
3
Lattice="3.866 0.013 0.000 -0.567 3.824 0.000 -1.649 -1.919 5.666" Properties=species:S:1:pos:R:3 pbc="T T T"
Mg 0.000 0.000 3.500
La 0.000 0.000 0.077
Sb 1.649 1.919 2.089
```

Computed properties:
Space group: No. 42

=====

| no. | energy (Ha/atom) | raw formation energy (eV/atom) |
| --- | --- | --- |
| 1 | -0.5687 | -0.6840 |
| 2 | -1.0651 | -0.5372 |